The following is a PBE-GGA calculation of a geometry-optimized BePIr structure, from Alexandria via LeMat-Bulk.

Output
E above lowest polymorph	145.0	meV per atom
total magnetic moment	0.000	μB per atom
Fermi-level density of states	1.453	states/eV/cell
formation energy from the elements	-0.112	eV/atom

a b c (Å): 3.8302 3.8302 3.8302
angles (deg): 60.00 60.00 60.00
With the nearest neighbours (Å) after each atom.
Fractional positions:
1 P 0.7500 0.7500 0.7500  4 Ir 2.35, 4 Be 2.35
2 Ir 0.5000 0.5000 0.5000  4 P 2.35
3 Be 0.0000 0.0000 0.0000  4 P 2.35


The following is a PBE-GGA calculation of a geometry-optimized BePbAu3 structure, from Alexandria via LeMat-Bulk.

Output
E above lowest polymorph	0.0	meV per atom
total magnetic moment	0.000	μB per atom
Fermi-level density of states	2.863	states/eV/cell
formation energy from the elements	-0.066	eV/atom

a b c (Å): 5.2393 6.4871 6.4871
angles (deg): 120.00 90.00 90.00
With the nearest neighbours (Å) after each atom.
Fractional positions:
1 Be 0.0000 0.0000 0.0000  6 Au 2.41, 2 Be 2.62
2 Be 0.5000 0.0000 0.0000  6 Au 2.41, 2 Be 2.62
3 Pb 0.7499 0.6667 0.3334  12 Au 3.14-3.25
4 Pb 0.2501 0.3333 0.6666  12 Au 3.14-3.25
5 Au 0.7500 0.6406 0.8203  2 Be 2.41
6 Au 0.2500 0.8203 0.6406  2 Be 2.41
7 Au 0.2500 0.3594 0.1797  2 Be 2.41
8 Au 0.7500 0.1797 0.3594  2 Be 2.41
9 Au 0.2500 0.8202 0.1797  2 Be 2.41
10 Au 0.7500 0.1798 0.8203  2 Be 2.41


The following is a PBE-GGA calculation of a geometry-optimized AgHBr2 structure, from Alexandria via LeMat-Bulk.

Output
E above lowest polymorph	19.8	meV per atom
total magnetic moment	0.000	μB per atom
Fermi-level density of states	0.000	states/eV/cell

a b c (Å): 4.1288 8.1249 6.1852
angles (deg): 97.99 90.00 90.00
With the nearest neighbours (Å) after each atom.
Fractional positions:
1 Ag 0.2500 0.7885 0.5397  5 Br 2.83-2.88
2 Ag 0.7500 0.2115 0.4603  5 Br 2.83-2.88
3 H 0.2500 0.2572 0.0133  1 Br 1.61
4 H 0.7500 0.7428 0.9867  1 Br 1.61
5 Br 0.7500 0.8700 0.2590  1 H 1.85
6 Br 0.2500 0.3723 0.2466  1 H 1.61
7 Br 0.7500 0.6277 0.7534  1 H 1.61
8 Br 0.2500 0.1300 0.7410  1 H 1.85


The following is a PBE-GGA calculation of a geometry-optimized IrAuNF structure, from Alexandria via LeMat-Bulk.

Output
E above lowest polymorph	311.3	meV per atom
total magnetic moment	0.000	μB per atom
Fermi-level density of states	1.948	states/eV/cell
ΔE_f (raw)	226	meV/atom

a b c (Å): 3.9357 3.5091 8.9314
angles (deg): 90.00 102.49 90.00
With the nearest neighbours (Å) after each atom.
Fractional positions:
1 Ir 0.5517 0.0000 0.9674  2 N 1.88, 1 F 2.10
2 Ir 0.5517 0.5000 0.4674  2 N 1.88, 1 F 2.10
3 Au 0.1429 0.0000 0.1690  1 N 2.13
4 Au 0.1429 0.5000 0.6690  1 N 2.13
5 N 0.4490 0.0000 0.3968  2 Ir 1.88
6 N 0.4490 0.5000 0.8968  2 Ir 1.88
7 F 0.8370 0.0000 0.7943  1 Ir 2.10
8 F 0.8370 0.5000 0.2943  1 Ir 2.10


The following is a PBE-GGA calculation of a geometry-optimized Mg2Ga4Pb structure, from Alexandria via LeMat-Bulk.

Output
total magnetic moment	0.000	μB per atom
Fermi-level density of states	2.790	states/eV/cell
formation energy from the elements	-0.025	eV/atom

a b c (Å): 4.2176 4.2031 9.2925
angles (deg): 103.07 103.12 90.00
With the nearest neighbours (Å) after each atom.
Fractional positions:
1 Mg 0.8111 0.8111 0.6222  7 Ga 2.74-3.04
2 Mg 0.1889 0.1889 0.3778  7 Ga 2.74-3.04
3 Ga 0.6552 0.6552 0.3104  2 Ga 2.57, 1 Mg 2.74
4 Ga 0.3448 0.3448 0.6896  2 Ga 2.57, 1 Mg 2.74
5 Ga 0.0722 0.5722 0.1444  3 Ga 2.54-2.57
6 Ga 0.9278 0.4278 0.8556  3 Ga 2.54-2.57
7 Pb 0.5000 0.0000 0.0000  12 Ga 3.24-3.45


The following is a PBE-GGA calculation of a geometry-optimized Ac11Cd9Ru4 structure, from Alexandria via LeMat-Bulk.

Output
total magnetic moment	0.011	μB per atom
Fermi-level density of states	19.511	states/eV/cell
formation energy from the elements	-0.249	eV/atom

a b c (Å): 4.0935 13.8649 13.8649
angles (deg): 112.73 90.00 90.00
With the nearest neighbours (Å) after each atom.
Fractional positions:
1 Ac 0.0000 0.5818 0.9135  2 Ru 2.92
2 Ac 0.0000 0.4182 0.0865  2 Ru 2.92
3 Ac 0.0000 0.9135 0.5818  2 Ru 2.92
4 Ac 0.0000 0.0865 0.4182  2 Ru 2.92
5 Ac 0.0000 0.6232 0.3768  4 Ru 3.13
6 Ac 0.0000 0.3768 0.6232  4 Ru 3.13
7 Ac 0.0000 0.8365 0.1635  8 Cd 3.48-3.75, 3 Ac 3.78-3.88
8 Ac 0.0000 0.1635 0.8365  8 Cd 3.48-3.75, 3 Ac 3.78-3.88
9 Ac 0.0000 0.0000 0.0000  8 Cd 3.46, 2 Ac 3.78
10 Ac 0.0000 0.6865 0.6865  4 Ru 3.18, 2 Cd 3.52
11 Ac 0.0000 0.3135 0.3135  4 Ru 3.18, 2 Cd 3.52
12 Cd 0.5000 0.6329 0.1630  1 Cd 3.13, 1 Ru 3.14, 4 Ac 3.43-3.48
13 Cd 0.5000 0.3671 0.8370  1 Cd 3.13, 1 Ru 3.14, 4 Ac 3.43-3.48
14 Cd 0.5000 0.1630 0.6329  1 Cd 3.13, 1 Ru 3.14, 4 Ac 3.43-3.48
15 Cd 0.5000 0.8370 0.3671  1 Cd 3.13, 1 Ru 3.14, 4 Ac 3.43-3.48
16 Cd 0.5000 0.7818 0.9213  1 Ru 3.18, 1 Cd 3.22, 4 Ac 3.42-3.46
17 Cd 0.5000 0.2182 0.0787  1 Ru 3.18, 1 Cd 3.22, 4 Ac 3.42-3.46
18 Cd 0.5000 0.9213 0.7818  1 Ru 3.18, 1 Cd 3.22, 4 Ac 3.42-3.46
19 Cd 0.5000 0.0787 0.2182  1 Ru 3.18, 1 Cd 3.22, 4 Ac 3.42-3.46
20 Cd 0.5000 0.5000 0.5000  4 Ru 3.31, 8 Ac 3.50-3.52
21 Ru 0.5000 0.5480 0.7534  6 Ac 2.92-3.18, 2 Cd 3.14-3.18
22 Ru 0.5000 0.4520 0.2466  6 Ac 2.92-3.18, 2 Cd 3.14-3.18
23 Ru 0.5000 0.7534 0.5480  6 Ac 2.92-3.18, 2 Cd 3.14-3.18
24 Ru 0.5000 0.2466 0.4520  6 Ac 2.92-3.18, 2 Cd 3.14-3.18


The following is a PBE-GGA calculation of a geometry-optimized K3YO structure, from Alexandria via LeMat-Bulk.

Output
E above lowest polymorph	1152.4	meV per atom
total magnetic moment	0.431	μB per atom
Fermi-level density of states	33.671	states/eV/cell
ΔE_f (raw)	1163	meV/atom

a b c (Å): 7.3533 7.3533 7.3533
angles (deg): 90.00 90.00 90.00
With the nearest neighbours (Å) after each atom.
Fractional positions:
1 Y 0.0000 0.0000 0.0000  6 K 3.68
2 K 0.0000 0.5000 0.0000  2 Y 3.68
3 K 0.0000 0.0000 0.5000  2 Y 3.68
4 K 0.5000 0.0000 0.0000  2 Y 3.68
5 O 0.5000 0.5000 0.5000  12 K 5.20


The following is a PBE-GGA calculation of a geometry-optimized ErTmIn2 structure, from Alexandria via LeMat-Bulk.

Output
total magnetic moment	0.000	μB per atom
Fermi-level density of states	2.802	states/eV/cell
formation energy from the elements	-0.435	eV/atom

a b c (Å): 3.4562 5.5282 5.5282
angles (deg): 103.61 89.99 89.99
With the nearest neighbours (Å) after each atom.
Fractional positions:
1 Er 0.5000 0.5000 0.5000  8 In 3.26, 2 Tm 3.42, 2 Er 3.46
2 Tm 0.5000 0.0000 0.0000  8 In 3.26, 2 Er 3.42, 2 Tm 3.46
3 In 0.0000 0.0000 0.5000  4 Er 3.26, 4 Tm 3.26, 4 In 3.42-3.46
4 In 0.0000 0.5000 0.0000  4 Tm 3.26, 4 Er 3.26, 4 In 3.42-3.46


The following is a PBE-GGA calculation of a geometry-optimized PbSe2Br structure, from Alexandria via LeMat-Bulk.

Output
E above lowest polymorph	715.6	meV per atom
total magnetic moment	0.000	μB per atom
Fermi-level density of states	4.317	states/eV/cell
ΔE_f (raw)	380	meV/atom

a b c (Å): 14.0014 14.0014 14.0014
angles (deg): 12.76 12.76 12.76
With the nearest neighbours (Å) after each atom.
Fractional positions:
1 Pb 0.0000 0.0000 0.0000  2 Se 3.02, 6 Pb 3.11
2 Se 0.9275 0.9275 0.9275  1 Pb 3.02, 6 Se 3.11
3 Se 0.0725 0.0725 0.0725  1 Pb 3.02, 6 Se 3.11
4 Br 0.5000 0.5000 0.5000  6 Br 3.11


- The lowest Fermi-level density of states belongs to which entry?
  AgHBr2